[1]
! PBE-GGA TaPb2Br, relaxed; values from VASP
! energy: -4.56 eV/atom
! magnetization: 1.48 μB/cell
! energy relative to the elements, uncorrected: 2.70 eV per formula unit
! symmetry: No. 47
! energy above the most stable polymorph in this dataset: 2.40 eV/f.u.
&SYSTEM
  ibrav = 0, nat = 4, ntyp = 3
/
ATOMIC_SPECIES
Ta 180.95 Ta.upf
Pb 207.20 Pb.upf
Br 79.90 Br.upf
CELL_PARAMETERS angstrom
3.263 0.000 0.000
0.000 5.361 0.000
0.000 0.000 5.884
ATOMIC_POSITIONS crystal
Ta 0.000 0.000 0.000
Pb 0.000 0.500 0.500
Pb 0.500 0.500 0.000
Br 0.500 0.000 0.500



[2]
! PBE-GGA Ta2PbBr, relaxed; values from VASP
! energy: -6.73 eV/atom
! magnetization: 0.00 μB/cell
! energy relative to the elements, uncorrected: 2.19 eV per formula unit
! symmetry: No. 8
! energy above the most stable polymorph in this dataset: 1.72 eV/f.u.
&SYSTEM
  ibrav = 0, nat = 4, ntyp = 3
/
ATOMIC_SPECIES
Ta 180.95 Ta.upf
Pb 207.20 Pb.upf
Br 79.90 Br.upf
CELL_PARAMETERS angstrom
4.839 -1.657 0.000
4.839 1.657 0.000
-1.235 0.000 5.597
ATOMIC_POSITIONS crystal
Ta 0.000 0.000 0.000
Ta 0.710 0.710 0.226
Pb 0.474 0.474 0.475
Br 0.254 0.254 0.877



[3]
! PBE-GGA Ta2PbBr, relaxed; values from VASP
! energy: -6.74 eV/atom
! magnetization: 0.00 μB/cell
! energy relative to the elements, uncorrected: 2.13 eV per formula unit
! symmetry: No. 12
! energy above the most stable polymorph in this dataset: 1.66 eV/f.u.
&SYSTEM
  ibrav = 0, nat = 4, ntyp = 3
/
ATOMIC_SPECIES
Ta 180.95 Ta.upf
Pb 207.20 Pb.upf
Br 79.90 Br.upf
CELL_PARAMETERS angstrom
5.287 -1.616 0.000
5.287 1.616 0.000
-4.492 0.000 6.456
ATOMIC_POSITIONS crystal
Ta 0.220 0.220 0.348
Ta 0.780 0.780 0.652
Pb 0.000 0.000 0.500
Br 0.500 0.500 0.000



[4]
! PBE-GGA Ta2PbBr, relaxed; values from VASP
! energy: -6.52 eV/atom
! magnetization: 0.00 μB/cell
! energy relative to the elements, uncorrected: 3.00 eV per formula unit
! symmetry: No. 10
! energy above the most stable polymorph in this dataset: 2.54 eV/f.u.
&SYSTEM
  ibrav = 0, nat = 4, ntyp = 3
/
ATOMIC_SPECIES
Ta 180.95 Ta.upf
Pb 207.20 Pb.upf
Br 79.90 Br.upf
CELL_PARAMETERS angstrom
3.136 0.000 0.000
0.000 4.538 0.000
-0.004 0.000 5.949
ATOMIC_POSITIONS crystal
Ta 0.092 0.000 0.253
Ta 0.908 0.000 0.747
Pb 0.500 0.500 0.500
Br 0.000 0.500 0.000